First-principles (PBE) data for a geometry-optimized ErTmZrIn structure, as listed in Alexandria via LeMat-Bulk.

abc: 7.4804 7.4804 7.4804
angles: 90.00 90.00 90.00
Space group F-43m (No. 216)
Unique sites:
Er (0.0000, 0.0000, 0.0000) (multiplicity 4)
Tm (0.0000, 0.0000, 0.5000) (multiplicity 4)
Zr (0.2500, 0.2500, 0.7500) (multiplicity 4)
In (0.2500, 0.2500, 0.2500) (multiplicity 4)

- energy of formation from the pure elements (eV/atom) = -0.07